A plane-wave DFT calculation with GGA-PBE was carried out for Mg2NbAu after structural relaxation.

Results
Spin magnetization   2.1 μB per formula unit
Energy above the most stable polymorph in this dataset   0.0 meV per atom

Structure (CIF):
```
data_Mg2NbAu
_space_group_name_H-M_alt 'F m -3 m'
_space_group_IT_number 225
_space_group_name_Hall '-F 4 2 3'
_cell_length_a 6.644
_cell_length_b 6.644
_cell_length_c 6.644
_cell_angle_alpha 90.00
_cell_angle_beta 90.00
_cell_angle_gamma 90.00
loop_
_atom_site_label
_atom_site_type_symbol
_atom_site_fract_x
_atom_site_fract_y
_atom_site_fract_z
Mg1 Mg 0.250 0.250 0.250
Nb1 Nb 0.000 0.000 0.000
Au1 Au 0.000 0.000 0.500
```